! Sr2LaTiAu, relaxed, DFT PBE-GGA; values from VASP
&SYSTEM
  ibrav = 0, nat = 5, ntyp = 4
/
ATOMIC_SPECIES
Sr 87.62 Sr.upf
La 138.91 La.upf
Ti 47.87 Ti.upf
Au 196.97 Au.upf
CELL_PARAMETERS angstrom
6.3116 0.0000 0.0000
0.0000 6.3116 0.0000
0.0000 0.0000 5.3186
ATOMIC_POSITIONS crystal
Sr 0.0000 0.5000 0.0000
Sr 0.5000 0.0000 0.0000
La 0.0000 0.0000 0.0000
Ti 0.5000 0.5000 0.5000
Au 0.0000 0.0000 0.5000
! energy of formation	1013	meV/atom
! DFT total energy	-14.400	eV/f.u.
! DOS(E_F)	4.66	states/eV per cell